Density functional theory data (PBE-GGA) for a relaxed structure of BeCuIN2.

Summary:
* offset from the most stable computed form: 0.0 kJ/mol of formula units
* N(E_F): 0.771 states/eV per atom
* final energy: -19.887 eV per cell

Lattice parameters (Å, degrees): 3.508 3.508 7.248 90.00 90.00 90.00
Space group P4/mmm (No. 123)
Inequivalent atoms, fractional coordinates:
1 Be 0.000 0.000 0.000 (multiplicity 1)
2 Cu 0.500 0.500 0.500 (multiplicity 1)
3 I 0.000 0.000 0.500 (multiplicity 1)
4 N 0.000 0.500 0.000 (multiplicity 2)